1.
DFT (PBE) results for a geometry-optimized SrGe3 structure.

Results
Energy, eV per atom: -4.1698
DFT formation energy, meV per atom: -286

a = 8.2079 Å, b = 8.2079 Å, c = 8.2079 Å
α = 123.41°, β = 123.41°, γ = 84.18°
Fractional positions:
Sr (0.1710, 0.1710, 0.0000)
Sr (0.2500, 0.7500, 0.5000)
Sr (0.7500, 0.2500, 0.5000)
Sr (0.8290, 0.8290, 0.0000)
Ge (0.0000, 0.3369, 0.3369)
Ge (0.0000, 0.6631, 0.6631)
Ge (0.2089, 0.2089, 0.6328)
Ge (0.2089, 0.5761, 0.0000)
Ge (0.3369, 0.0000, 0.3369)
Ge (0.4239, 0.4239, 0.6328)
Ge (0.4239, 0.7911, 0.0000)
Ge (0.5761, 0.2089, 0.0000)
Ge (0.5761, 0.5761, 0.3672)
Ge (0.6631, 0.0000, 0.6631)
Ge (0.7911, 0.4239, 0.0000)
Ge (0.7911, 0.7911, 0.3672)

2.
DFT (PBE) results for a geometry-optimized SrGe structure.

Results
Energy, eV per atom: -2.8090
DFT formation energy, meV per atom: 341

a = 5.1363 Å, b = 5.1363 Å, c = 5.1363 Å
α = 60.00°, β = 60.00°, γ = 60.00°
Fractional positions:
Sr (0.0000, 0.0000, 0.0000)
Ge (0.2500, 0.2500, 0.2500)

3.
DFT (PBE) results for a geometry-optimized SrGe5 structure.

Results
Energy, eV per atom: -4.1007
DFT formation energy, meV per atom: 27

a = 7.3534 Å, b = 7.3534 Å, c = 3.7259 Å
α = 90.00°, β = 90.00°, γ = 138.85°
Fractional positions:
Sr (0.0000, 0.0000, 0.0000)
Ge (0.1981, 0.8019, 0.5000)
Ge (0.3408, 0.6592, 0.0000)
Ge (0.5000, 0.5000, 0.5000)
Ge (0.6592, 0.3408, 0.0000)
Ge (0.8019, 0.1981, 0.5000)